5
Lattice="-5.4959 -1.2976 1.5854 -0.4132 -3.6493 -4.4192 2.0049 -4.3408 3.3971" Properties=species:S:1:pos:R:3 comment="KAl2TlGa GGA-PBE relaxed" m_tot_mub_per_fu=0.0 formation_energy_mev_per_atom=1201 space_group="P4/mmm, No. 123" pbc="T T T"
K 0.0000 0.0000 0.0000
Al 1.0024 -2.1704 1.6985
Al -2.7480 -0.6488 0.7927
Tl -1.9521 -4.6439 0.2816
Ga -0.2066 -1.8246 -2.2096


4
Lattice="-1.3502 -4.0169 -3.8598 4.1443 -3.0078 -2.5758 0.7237 -5.5446 1.2609" Properties=species:S:1:pos:R:3 comment="Ca3Se GGA-PBE relaxed" m_tot_mub_per_fu=0.0 raw_formation_energy_mev_per_atom=-258 e_above_lowest_polymorph_mev_per_atom=649 space_group="Fm-3m, No. 225" pbc="T T T"
Ca 0.0000 0.0000 0.0000
Ca 1.7588 -6.2847 -2.5873
Se 2.6383 -9.4270 -3.8810
Ca 0.8794 -3.1423 -1.2937


What are the D(E_F) values for these records? In order: 4.1 4.9 states/eV per cell.